Record 1
{
  "formula": "KCrHg2",
  "functional": "GGA-PBE",
  "state": "relaxed",
  "cell": [[1.791, 1.034, 9.806], [-1.791, 1.034, 9.806], [0.000, -2.068, 9.806]],
  "species": ["K", "Cr", "Hg", "Hg"],
  "frac_coords": [[0.000, 0.000, 0.000], [0.500, 0.500, 0.500], [0.236, 0.236, 0.236], [0.764, 0.764, 0.764]],
  "e_above_lowest_polymorph_ev_per_atom": 0.131,
  "mass_density_g_cm3": 7.50,
  "crystal_system": "trigonal",
  "dos_ef_per_ev_cell": 1.9
}

=====

Record 2
{
  "formula": "K4MnAs",
  "functional": "GGA-PBE",
  "state": "relaxed",
  "cell": [[0.000, 4.884, 4.884], [4.884, 0.000, 4.884], [4.884, 4.884, 0.000]],
  "species": ["K", "K", "K", "K", "Mn", "As"],
  "frac_coords": [[0.377, 0.377, 0.377], [0.377, 0.377, 0.870], [0.377, 0.870, 0.377], [0.870, 0.377, 0.377], [0.000, 0.000, 0.000], [0.750, 0.750, 0.750]],
  "e_tot_ev_per_cell": -14.2,
  "mass_density_g_cm3": 2.04,
  "crystal_system": "cubic",
  "dos_ef_per_ev_cell": 3.8
}

=====

Record 3
{
  "formula": "Sr2AgPb2",
  "functional": "GGA-PBE",
  "state": "relaxed",
  "cell": [[6.044, -2.492, 0.000], [6.044, 2.492, 0.000], [-5.517, 0.000, 10.769]],
  "species": ["Sr", "Sr", "Sr", "Sr", "Ag", "Ag", "Pb", "Pb", "Pb", "Pb"],
  "frac_coords": [[0.016, 0.016, 0.334], [0.183, 0.183, 0.109], [0.817, 0.817, 0.891], [0.984, 0.984, 0.666], [0.280, 0.280, 0.663], [0.720, 0.720, 0.337], [0.353, 0.353, 0.440], [0.475, 0.475, 0.117], [0.525, 0.525, 0.883], [0.647, 0.647, 0.560]],
  "e_above_lowest_polymorph_ev_per_atom": 0.000,
  "mass_density_g_cm3": 7.14,
  "crystal_system": "monoclinic",
  "dos_ef_per_ev_cell": 4.7
}

=====

Record 4
{
  "formula": "InTe5Pb4",
  "functional": "GGA-PBE",
  "state": "relaxed",
  "cell": [[2.285, 1.319, 18.970], [-2.285, 1.319, 18.970], [0.000, -2.639, 18.970]],
  "species": ["In", "Te", "Te", "Te", "Te", "Te", "Pb", "Pb", "Pb", "Pb"],
  "frac_coords": [[0.000, 0.000, 0.000], [0.100, 0.100, 0.100], [0.301, 0.301, 0.301], [0.500, 0.500, 0.500], [0.699, 0.699, 0.699], [0.900, 0.900, 0.900], [0.201, 0.201, 0.201], [0.398, 0.398, 0.398], [0.602, 0.602, 0.602], [0.799, 0.799, 0.799]],
  "e_form_raw_ev_per_atom": -0.364,
  "e_above_lowest_polymorph_ev_per_atom": 0.004,
  "mass_density_g_cm3": 7.65,
  "crystal_system": "trigonal",
  "dos_ef_per_ev_cell": 3.9
}